Here is an optimized crystal structure of DyHo3Tm3 from the Alexandria database. Energies are from PBE.

a = 6.0867 Å, b = 6.0867 Å, c = 14.4196 Å
α = 77.82°, β = 77.82°, γ = 60.00°
Atoms (fractional coordinates):
Dy  0.6667  0.6667  0.9999
Dy  0.3333  0.3333  0.0001
Ho  0.1987  0.8672  0.3980
Ho  0.5361  0.1987  0.3980
Ho  0.8672  0.5361  0.3980
Ho  0.1328  0.4639  0.6020
Ho  0.4639  0.8013  0.6020
Ho  0.8013  0.1328  0.6020
Tm  0.9335  0.2675  0.1996
Tm  0.5994  0.9335  0.1996
Tm  0.2675  0.5994  0.1996
Tm  0.7325  0.4006  0.8004
Tm  0.4006  0.0665  0.8004
Tm  0.0665  0.7325  0.8004

Energy above the lowest structure with this stoichiometry in meV per atom: 142.2
Calculated volume in Å³/atom: 32.0
Fermi-level density of states in states/eV/atom: 1.41
DFT formation energy in kcal/mol of atoms: 3.4

Here is an optimized crystal structure of DyHo7Tm4 from the Alexandria database. Energies are from PBE.

a = 6.7215 Å, b = 8.6125 Å, c = 8.9244 Å
α = 83.14°, β = 93.94°, γ = 47.49°
Atoms (fractional coordinates):
Dy  0.0000  0.0000  0.0000
Ho  0.7352  0.5150  0.9497
Ho  0.2648  0.4850  0.0503
Ho  0.9825  0.3146  0.6419
Ho  0.0175  0.6854  0.3581
Ho  0.2962  0.8081  0.6132
Ho  0.5000  0.0000  0.0000
Ho  0.7038  0.1919  0.3868
Tm  0.5540  0.6420  0.2863
Tm  0.4460  0.3580  0.7137
Tm  0.7741  0.8385  0.6863
Tm  0.2259  0.1615  0.3137

Energy above the lowest structure with this stoichiometry in meV per atom: 67.7
Calculated volume in Å³/atom: 30.8
Fermi-level density of states in states/eV/atom: 1.72
DFT formation energy in kcal/mol of atoms: 2.1

Here is an optimized crystal structure of Dy14HoTm from the Alexandria database. Energies are from PBE.

a = 7.0625 Å, b = 7.0625 Å, c = 9.9750 Å
α = 90.00°, β = 90.00°, γ = 90.00°
Atoms (fractional coordinates):
Dy  0.3749  0.6251  0.5000
Dy  0.8750  0.1250  0.5000
Dy  0.8750  0.6250  0.0000
Dy  0.8749  0.6250  0.5000
Dy  0.3750  0.1250  0.0000
Dy  0.3750  0.1251  0.5000
Dy  0.6248  0.8748  0.7506
Dy  0.6248  0.8748  0.2494
Dy  0.1252  0.3752  0.7506
Dy  0.1252  0.3752  0.2494
Dy  0.1252  0.8748  0.7506
Dy  0.1252  0.8748  0.2494
Dy  0.6248  0.3752  0.7506
Dy  0.6248  0.3752  0.2494
Ho  0.8750  0.1250  0.0000
Tm  0.3751  0.6249  0.0000

Calculated volume in Å³/atom: 31.1
Fermi-level density of states in states/eV/atom: 1.14
DFT formation energy in kcal/mol of atoms: 0.4

Here is an optimized crystal structure of DyHo3Tm7 from the Alexandria database. Energies are from PBE.

a = 8.4725 Å, b = 6.9385 Å, c = 6.9385 Å
α = 120.00°, β = 90.00°, γ = 90.00°
Atoms (fractional coordinates):
Dy  0.4476  0.3333  0.6667
Ho  0.7837  0.5001  0.4999
Ho  0.7837  0.5001  0.0003
Ho  0.7837  0.9997  0.4999
Tm  0.1185  0.1677  0.8323
Tm  0.1185  0.1677  0.3354
Tm  0.1188  0.6667  0.3333
Tm  0.4474  0.8323  0.1677
Tm  0.4474  0.3355  0.1677
Tm  0.4474  0.8323  0.6645
Tm  0.1185  0.6646  0.8323

Energy above the lowest structure with this stoichiometry in meV per atom: 35.2
Calculated volume in Å³/atom: 32.1
Fermi-level density of states in states/eV/atom: 1.60
DFT formation energy in kcal/mol of atoms: 4.6

Here is an optimized crystal structure of Dy2Ho7Tm3 from the Alexandria database. Energies are from PBE.

a = 3.4750 Å, b = 6.2474 Å, c = 17.6382 Å
α = 75.58°, β = 90.00°, γ = 90.00°
Atoms (fractional coordinates):
Dy  0.5000  0.6113  0.3271
Dy  0.5000  0.3887  0.6729
Ho  0.5000  0.2426  0.5017
Ho  0.5000  0.7574  0.4983
Ho  0.0000  0.5598  0.1652
Ho  0.0000  0.0000  0.0000
Ho  0.0000  0.4402  0.8348
Ho  0.5000  0.9426  0.8317
Ho  0.5000  0.0574  0.1683
Tm  0.5000  0.5000  0.0000
Tm  0.0000  0.1068  0.3426
Tm  0.0000  0.8932  0.6574

Energy above the lowest structure with this stoichiometry in meV per atom: 0.0
Calculated volume in Å³/atom: 30.9
Fermi-level density of states in states/eV/atom: 1.44
DFT formation energy in kcal/mol of atoms: 1.8

Here is an optimized crystal structure of Dy4Ho2Tm5 from the Alexandria database. Energies are from PBE.

a = 5.5723 Å, b = 9.1779 Å, c = 8.5617 Å
α = 122.49°, β = 108.99°, γ = 90.00°
Atoms (fractional coordinates):
Dy  0.8399  0.7429  0.6798
Dy  0.2097  0.6726  0.4194
Dy  0.1601  0.2571  0.3202
Dy  0.7903  0.3274  0.5806
Ho  0.0506  0.8022  0.1011
Ho  0.9494  0.1978  0.8989
Tm  0.3154  0.1162  0.6308
Tm  0.6846  0.8838  0.3692
Tm  0.4128  0.5714  0.8255
Tm  0.5000  0.0000  0.0000
Tm  0.5872  0.4286  0.1745

Energy above the lowest structure with this stoichiometry in meV per atom: 40.8
Calculated volume in Å³/atom: 31.0
Fermi-level density of states in states/eV/atom: 1.72
DFT formation energy in kcal/mol of atoms: 2.3

Here is an optimized crystal structure of Dy2Ho4Tm3 from the Alexandria database. Energies are from PBE.

a = 6.0824 Å, b = 11.1031 Å, c = 11.1031 Å
α = 62.20°, β = 61.56°, γ = 61.56°
Atoms (fractional coordinates):
Dy  0.4200  0.2364  0.5230
Dy  0.0800  0.4770  0.7636
Dy  0.5800  0.7636  0.4770
Dy  0.9200  0.5230  0.2364
Ho  0.4200  0.9039  0.1894
Ho  0.0800  0.8106  0.0961
Ho  0.5800  0.0961  0.8106
Ho  0.9200  0.1894  0.9039
Ho  0.0807  0.1440  0.4286
Ho  0.4193  0.5714  0.8560
Ho  0.9193  0.8560  0.5714
Ho  0.5807  0.4286  0.1440
Tm  0.7524  0.0695  0.2633
Tm  0.7476  0.7367  0.9305
Tm  0.2476  0.9305  0.7367
Tm  0.2524  0.2633  0.0695
Tm  0.2500  0.5968  0.4032
Tm  0.7500  0.4032  0.5968

Calculated volume in Å³/atom: 30.6
Fermi-level density of states in states/eV/atom: 1.43
DFT formation energy in kcal/mol of atoms: 2.3

Here is an optimized crystal structure of Dy6HoTm4 from the Alexandria database. Energies are from PBE.

a = 6.4862 Å, b = 6.4862 Å, c = 9.6238 Å
α = 109.69°, β = 109.69°, γ = 90.00°
Atoms (fractional coordinates):
Dy  0.8606  0.4869  0.3475
Dy  0.4869  0.8606  0.3475
Dy  0.5131  0.5131  0.6525
Dy  0.0000  0.5000  0.0000
Dy  0.1394  0.1394  0.6525
Dy  0.5000  0.0000  0.0000
Ho  0.5000  0.5000  0.0000
Tm  0.0484  0.6890  0.7374
Tm  0.9516  0.9516  0.2626
Tm  0.6890  0.0484  0.7374
Tm  0.3110  0.3110  0.2626

Energy above the lowest structure with this stoichiometry in meV per atom: 184.0
Calculated volume in Å³/atom: 32.4
Fermi-level density of states in states/eV/atom: 1.29
DFT formation energy in kcal/mol of atoms: 7.2